The following is a PBE calculation of crystalline MgSi2Se at its relaxed geometry, from Alexandria.

The total moment is 0.00 μB per formula unit.

a b c (Å): 5.685 3.646 3.646
angles (deg): 90.34 90.00 90.00
Fractional coordinates of all 4 atoms:
Se: 0.500 0.750 0.750
Si: 0.000 0.486 0.486
Si: 0.000 0.014 0.014
Mg: 0.500 0.250 0.250

***

The following is a PBE calculation of crystalline MgSi2Se at its relaxed geometry, from Alexandria.

The total moment is 0.00 μB per formula unit.

a b c (Å): 4.704 4.704 4.704
angles (deg): 60.00 60.00 60.00
Fractional coordinates of all 4 atoms:
Se: 0.750 0.750 0.750
Si: 0.250 0.250 0.250
Mg: 0.500 0.500 0.500
Si: 0.000 0.000 0.000

***

The following is a PBE calculation of crystalline MgSiSe3 at its relaxed geometry, from Alexandria.

The total moment is 0.00 μB per formula unit.

a b c (Å): 4.851 4.851 4.851
angles (deg): 90.00 90.00 90.00
Fractional coordinates of all 5 atoms:
Mg: 0.500 0.500 0.500
Se: 0.000 0.500 0.000
Si: 0.000 0.000 0.000
Se: 0.500 0.000 0.000
Se: 0.000 0.000 0.500

***

The following is a PBE calculation of crystalline Mg2SiSe at its relaxed geometry, from Alexandria.

The total moment is 0.00 μB per formula unit.

a b c (Å): 8.241 8.241 8.241
angles (deg): 24.71 24.71 24.71
Fractional coordinates of all 4 atoms:
Mg: 0.007 0.007 0.007
Mg: 0.241 0.241 0.241
Si: 0.759 0.759 0.759
Se: 0.493 0.493 0.493

***

The following raw formation energy values (in eV/atom) correspond, in order, to the records above: -0.06 0.29 -0.02 0.00.